1.
# ZrSc2Pb | Alexandria | PBE | relaxed
# Symmetry: P4mm
# Formation energy (eV per atom): -0.091
data_ZrSc2Pb
_cell_length_a 3.2212
_cell_length_b 3.2212
_cell_length_c 9.4039
_cell_angle_alpha 90.00
_cell_angle_beta 90.00
_cell_angle_gamma 90.00
_space_group_name_H-M_alt 'P 1'
_space_group_IT_number 1
loop_
_space_group_symop_operation_xyz
'x,y,z'
loop_
_atom_site_label
_atom_site_type_symbol
_atom_site_fract_x
_atom_site_fract_y
_atom_site_fract_z
Zr1 Zr 0.0000 0.0000 0.0000
Sc1 Sc 0.0000 0.0000 0.4992
Sc2 Sc 0.5000 0.5000 0.7632
Pb1 Pb 0.5000 0.5000 0.2524

2.
# ZrSc2Pb | Alexandria | PBE | relaxed
# Symmetry: P4/mmm
# Formation energy (eV per atom): -0.130
data_ZrSc2Pb
_cell_length_a 5.2403
_cell_length_b 5.2403
_cell_length_c 3.4171
_cell_angle_alpha 90.00
_cell_angle_beta 90.00
_cell_angle_gamma 90.00
_space_group_name_H-M_alt 'P 1'
_space_group_IT_number 1
loop_
_space_group_symop_operation_xyz
'x,y,z'
loop_
_atom_site_label
_atom_site_type_symbol
_atom_site_fract_x
_atom_site_fract_y
_atom_site_fract_z
Zr1 Zr 0.0000 0.0000 0.0000
Sc1 Sc 0.0000 0.5000 0.5000
Sc2 Sc 0.5000 0.0000 0.5000
Pb1 Pb 0.5000 0.5000 0.0000

3.
# ZrScPb | Alexandria | PBE | relaxed
# Symmetry: F-43m
# Formation energy (eV per atom): 0.086
# Energy above the most stable polymorph in this dataset (meV per atom): 442.9
data_ZrScPb
_cell_length_a 4.8620
_cell_length_b 4.8620
_cell_length_c 4.8620
_cell_angle_alpha 60.00
_cell_angle_beta 60.00
_cell_angle_gamma 60.00
_space_group_name_H-M_alt 'P 1'
_space_group_IT_number 1
loop_
_space_group_symop_operation_xyz
'x,y,z'
loop_
_atom_site_label
_atom_site_type_symbol
_atom_site_fract_x
_atom_site_fract_y
_atom_site_fract_z
Zr1 Zr 0.0000 0.0000 0.0000
Sc1 Sc 0.5000 0.5000 0.5000
Pb1 Pb 0.2500 0.2500 0.2500

4.
# ZrScPb | Alexandria | PBE | relaxed
# Symmetry: Fmm2
# Formation energy (eV per atom): -0.158
# Energy above the most stable polymorph in this dataset (meV per atom): 198.7
data_ZrScPb
_cell_length_a 7.4638
_cell_length_b 7.3960
_cell_length_c 3.2230
_cell_angle_alpha 78.65
_cell_angle_beta 76.30
_cell_angle_gamma 25.05
_space_group_name_H-M_alt 'P 1'
_space_group_IT_number 1
loop_
_space_group_symop_operation_xyz
'x,y,z'
loop_
_atom_site_label
_atom_site_type_symbol
_atom_site_fract_x
_atom_site_fract_y
_atom_site_fract_z
Zr1 Zr 0.0000 0.0000 0.0000
Sc1 Sc 0.6580 0.6580 0.3420
Pb1 Pb 0.3301 0.3301 0.6699

5.
# ZrScPb | Alexandria | PBE | relaxed
# Symmetry: P3m1
# Formation energy (eV per atom): -0.138
# Energy above the most stable polymorph in this dataset (meV per atom): 218.8
data_ZrScPb
_cell_length_a 3.3630
_cell_length_b 3.3630
_cell_length_c 7.6027
_cell_angle_alpha 90.00
_cell_angle_beta 90.00
_cell_angle_gamma 120.00
_space_group_name_H-M_alt 'P 1'
_space_group_IT_number 1
loop_
_space_group_symop_operation_xyz
'x,y,z'
loop_
_atom_site_label
_atom_site_type_symbol
_atom_site_fract_x
_atom_site_fract_y
_atom_site_fract_z
Zr1 Zr 0.0000 0.0000 0.0000
Sc1 Sc 0.3333 0.6667 0.6797
Pb1 Pb 0.6667 0.3333 0.3385

6.
# ZrScPb | Alexandria | PBE | relaxed
# Symmetry: P4/nmm
# Formation energy (eV per atom): -0.357
# Energy above the most stable polymorph in this dataset (meV per atom): 0.0
data_ZrScPb
_cell_length_a 4.2937
_cell_length_b 4.2937
_cell_length_c 7.9906
_cell_angle_alpha 90.00
_cell_angle_beta 90.00
_cell_angle_gamma 90.00
_space_group_name_H-M_alt 'P 1'
_space_group_IT_number 1
loop_
_space_group_symop_operation_xyz
'x,y,z'
loop_
_atom_site_label
_atom_site_type_symbol
_atom_site_fract_x
_atom_site_fract_y
_atom_site_fract_z
Zr1 Zr 0.2500 0.7500 0.0000
Zr2 Zr 0.7500 0.2500 0.0000
Sc1 Sc 0.2500 0.2500 0.3306
Sc2 Sc 0.7500 0.7500 0.6694
Pb1 Pb 0.2500 0.2500 0.7107
Pb2 Pb 0.7500 0.7500 0.2893

7.
# Zr5ScPb3 | Alexandria | PBE | relaxed
# Symmetry: P6_3/mcm
# Formation energy (eV per atom): -0.191
data_Zr5ScPb3
_cell_length_a 8.8940
_cell_length_b 8.8940
_cell_length_c 6.1051
_cell_angle_alpha 90.00
_cell_angle_beta 90.00
_cell_angle_gamma 120.00
_space_group_name_H-M_alt 'P 1'
_space_group_IT_number 1
loop_
_space_group_symop_operation_xyz
'x,y,z'
loop_
_atom_site_label
_atom_site_type_symbol
_atom_site_fract_x
_atom_site_fract_y
_atom_site_fract_z
Zr1 Zr 0.0000 0.3417 0.2500
Zr2 Zr 0.0000 0.6583 0.7500
Zr3 Zr 0.3333 0.6667 0.0000
Zr4 Zr 0.3333 0.6667 0.5000
Zr5 Zr 0.3417 0.0000 0.2500
Zr6 Zr 0.3417 0.3417 0.7500
Zr7 Zr 0.6583 0.0000 0.7500
Zr8 Zr 0.6583 0.6583 0.2500
Zr9 Zr 0.6667 0.3333 0.0000
Zr10 Zr 0.6667 0.3333 0.5000
Sc1 Sc 0.0000 0.0000 0.0000
Sc2 Sc 0.0000 0.0000 0.5000
Pb1 Pb 0.0000 0.3263 0.7500
Pb2 Pb 0.0000 0.6737 0.2500
Pb3 Pb 0.3263 0.0000 0.7500
Pb4 Pb 0.3263 0.3263 0.2500
Pb5 Pb 0.6737 0.0000 0.2500
Pb6 Pb 0.6737 0.6737 0.7500

8.
# ZrSc2Pb | Alexandria | PBE | relaxed
# Symmetry: Cm
# Formation energy (eV per atom): -0.132
data_ZrSc2Pb
_cell_length_a 5.6867
_cell_length_b 5.6867
_cell_length_c 5.4426
_cell_angle_alpha 100.93
_cell_angle_beta 100.93
_cell_angle_gamma 33.63
_space_group_name_H-M_alt 'P 1'
_space_group_IT_number 1
loop_
_space_group_symop_operation_xyz
'x,y,z'
loop_
_atom_site_label
_atom_site_type_symbol
_atom_site_fract_x
_atom_site_fract_y
_atom_site_fract_z
Zr1 Zr 0.0000 0.0000 0.0000
Sc1 Sc 0.5178 0.5178 0.5020
Sc2 Sc 0.7545 0.7545 0.2317
Pb1 Pb 0.2591 0.2591 0.7393

9.
# ZrSc2Pb | Alexandria | PBE | relaxed
# Symmetry: Immm
# Formation energy (eV per atom): -0.131
data_ZrSc2Pb
_cell_length_a 6.1316
_cell_length_b 6.1316
_cell_length_c 6.1316
_cell_angle_alpha 147.60
_cell_angle_beta 129.22
_cell_angle_gamma 61.53
_space_group_name_H-M_alt 'P 1'
_space_group_IT_number 1
loop_
_space_group_symop_operation_xyz
'x,y,z'
loop_
_atom_site_label
_atom_site_type_symbol
_atom_site_fract_x
_atom_site_fract_y
_atom_site_fract_z
Zr1 Zr 0.0000 0.0000 0.0000
Sc1 Sc 0.2524 0.7524 0.5000
Sc2 Sc 0.7476 0.2476 0.5000
Pb1 Pb 0.5000 0.5000 0.0000

10.
# ZrSc3Pb | Alexandria | PBE | relaxed
# Symmetry: Pm-3m
# Formation energy (eV per atom): 0.708
# Energy above the most stable polymorph in this dataset (meV per atom): 915.1
data_ZrSc3Pb
_cell_length_a 5.3750
_cell_length_b 5.3750
_cell_length_c 5.3750
_cell_angle_alpha 90.00
_cell_angle_beta 90.00
_cell_angle_gamma 90.00
_space_group_name_H-M_alt 'P 1'
_space_group_IT_number 1
loop_
_space_group_symop_operation_xyz
'x,y,z'
loop_
_atom_site_label
_atom_site_type_symbol
_atom_site_fract_x
_atom_site_fract_y
_atom_site_fract_z
Zr1 Zr 0.0000 0.0000 0.0000
Sc1 Sc 0.0000 0.5000 0.5000
Sc2 Sc 0.5000 0.0000 0.5000
Sc3 Sc 0.5000 0.5000 0.0000
Pb1 Pb 0.5000 0.5000 0.5000

11.
# ZrSc2Pb | Alexandria | PBE | relaxed
# Symmetry: P2/m
# Formation energy (eV per atom): -0.122
data_ZrSc2Pb
_cell_length_a 5.4347
_cell_length_b 3.2970
_cell_length_c 5.5476
_cell_angle_alpha 90.00
_cell_angle_beta 107.66
_cell_angle_gamma 90.00
_space_group_name_H-M_alt 'P 1'
_space_group_IT_number 1
loop_
_space_group_symop_operation_xyz
'x,y,z'
loop_
_atom_site_label
_atom_site_type_symbol
_atom_site_fract_x
_atom_site_fract_y
_atom_site_fract_z
Zr1 Zr 0.0000 0.0000 0.0000
Sc1 Sc 0.5000 0.0000 0.5000
Sc2 Sc 0.5000 0.5000 0.0000
Pb1 Pb 0.0000 0.5000 0.5000

12.
# ZrScPb | Alexandria | PBE | relaxed
# Symmetry: I4mm
# Formation energy (eV per atom): -0.147
# Energy above the most stable polymorph in this dataset (meV per atom): 210.0
data_ZrScPb
_cell_length_a 7.4127
_cell_length_b 7.4127
_cell_length_c 7.4127
_cell_angle_alpha 154.87
_cell_angle_beta 154.87
_cell_angle_gamma 35.84
_space_group_name_H-M_alt 'P 1'
_space_group_IT_number 1
loop_
_space_group_symop_operation_xyz
'x,y,z'
loop_
_atom_site_label
_atom_site_type_symbol
_atom_site_fract_x
_atom_site_fract_y
_atom_site_fract_z
Zr1 Zr 0.0000 0.0000 0.0000
Sc1 Sc 0.6569 0.6569 0.0000
Pb1 Pb 0.3296 0.3296 0.0000